Pr2GaNiO6: relaxed, PBE+U.

- DFT total energy: -0.2507 hartree per atom
- Crystal system: monoclinic
- Symmetry: No. 14

a b c (Å): 5.4519 5.4909 9.5384
angles (deg): 90.00 123.33 90.00
With the nearest neighbours (Å) after each atom.
Atoms (fractional coordinates):
Pr 0.2355 0.0419 0.2471  6 O 2.38-2.58
Pr 0.2355 0.4581 0.7471  6 O 2.38-2.58
Pr 0.7645 0.5419 0.2529  6 O 2.38-2.58
Pr 0.7645 0.9581 0.7529  6 O 2.38-2.58
Ga 0.5000 0.0000 0.0000  6 O 1.95-2.04
Ga 0.5000 0.5000 0.5000  6 O 1.95-2.04
Ni 0.0000 0.0000 0.5000  6 O 1.93-2.13
Ni 0.0000 0.5000 0.0000  6 O 1.93-2.13
O 0.1662 0.2190 0.9562  1 Ni 1.95, 1 Ga 2.02
O 0.1662 0.2810 0.4562  1 Ni 1.95, 1 Ga 2.02
O 0.2313 0.7107 0.9535  1 Ni 1.93, 1 Ga 2.04
O 0.2313 0.7893 0.4535  1 Ni 1.93, 1 Ga 2.04
O 0.3393 0.0132 0.7606  1 Ga 1.95, 1 Ni 2.13
O 0.3393 0.4868 0.2606  1 Ga 1.95, 1 Ni 2.13
O 0.6607 0.5132 0.7394  1 Ga 1.95, 1 Ni 2.13
O 0.6607 0.9868 0.2394  1 Ga 1.95, 1 Ni 2.13
O 0.7687 0.2107 0.5465  1 Ni 1.93, 1 Ga 2.04
O 0.7687 0.2893 0.0465  1 Ni 1.93, 1 Ga 2.04
O 0.8338 0.7190 0.5438  1 Ni 1.95, 1 Ga 2.02
O 0.8338 0.7810 0.0438  1 Ni 1.95, 1 Ga 2.02